LiTeS3 | PBE | relaxed

Cell: 3.5313 6.7189 9.8102 Å, 90.00 100.37 90.00°
Fractional coordinates of all 10 atoms:
S  0.9119  0.3210  0.8238
S  0.2456  0.1652  0.4911
S  0.0881  0.8210  0.1762
S  0.7544  0.6652  0.5089
S  0.4150  0.8055  0.8300
S  0.5850  0.3055  0.1700
Te  0.3446  0.5182  0.6893
Te  0.6554  0.0182  0.3107
Li  0.1593  0.4842  0.3186
Li  0.8407  0.9842  0.6814

## Properties
Total moment in μB per formula unit: 0.0
ΔE_f (raw) in eV per atom: -0.194
Polymorph energy (0 for the lowest one) in eV per formula unit: 0.00
Theoretical density in g/cm3: 3.35
Space-group type: No. 36
Electronic total energy in eV per atom: -3.6812